1.
Entry from Alexandria via LeMat-Bulk: a geometry-optimized LiCaFe2Sn structure (PBE-GGA).

abc: 4.955 4.955 5.717
angles: 90.00 90.00 90.00
Element x y z (fractional)
1 Li 0.000 0.000 0.000
2 Ca 0.500 0.500 0.000
3 Fe 0.000 0.500 0.500
4 Fe 0.500 0.000 0.500
5 Sn 0.500 0.500 0.500

Results
Its energy relative to the elements is 19.74 kcal/mol of atoms. The calculation puts the density of states at the Fermi level at 7.736 states/eV/f.u.

***

2.
Entry from Alexandria via LeMat-Bulk: a geometry-optimized NaLiHo2S4 structure (PBE-GGA).

abc: 7.875 7.875 7.875
angles: 120.32 119.72 89.97
Element x y z (fractional)
1 Na 0.500 0.000 0.000
2 Na 0.500 0.500 0.500
3 Li 0.000 0.000 0.000
4 Li 0.500 0.000 0.500
5 Ho 0.000 0.000 0.500
6 Ho 0.000 0.500 0.000
7 Ho 0.000 0.500 0.500
8 Ho 0.500 0.500 0.000
9 S 0.235 0.746 0.488
10 S 0.242 0.254 0.988
11 S 0.245 0.250 0.506
12 S 0.245 0.739 0.994
13 S 0.755 0.261 0.006
14 S 0.755 0.750 0.494
15 S 0.758 0.746 0.012
16 S 0.765 0.254 0.512

Results
The value obtained for the uncorrected formation energy is -14.7 eV/f.u. The calculation puts the density of states at the Fermi level at 0.000 states/eV/f.u.

***

3.
Entry from Alexandria via LeMat-Bulk: a geometry-optimized Y5Fe2Te structure (PBE-GGA).

abc: 8.894 8.894 8.894
angles: 129.93 129.93 73.51
Element x y z (fractional)
1 Y 0.000 0.000 0.000
2 Y 0.025 0.525 0.825
3 Y 0.200 0.025 0.500
4 Y 0.300 0.800 0.825
5 Y 0.475 0.300 0.500
6 Y 0.500 0.500 0.000
7 Y 0.525 0.700 0.500
8 Y 0.700 0.200 0.175
9 Y 0.800 0.975 0.500
10 Y 0.975 0.475 0.175
11 Fe 0.114 0.386 0.500
12 Fe 0.386 0.886 0.272
13 Fe 0.614 0.114 0.728
14 Fe 0.886 0.614 0.500
15 Te 0.250 0.250 0.000
16 Te 0.750 0.750 0.000

Results
The value obtained for the uncorrected formation energy is -2.6 eV/f.u. The calculation puts the density of states at the Fermi level at 8.098 states/eV/f.u.

***

4.
Entry from Alexandria via LeMat-Bulk: a geometry-optimized NiSbP structure (PBE-GGA).

abc: 3.959 3.959 7.279
angles: 90.00 90.00 90.00
Element x y z (fractional)
1 Ni 0.250 0.750 0.000
2 Ni 0.750 0.250 0.000
3 Sb 0.250 0.250 0.264
4 Sb 0.750 0.750 0.736
5 P 0.250 0.250 0.801
6 P 0.750 0.750 0.199

Results
Its relative energy among the computed polymorphs is 0.69 eV per formula unit. The value obtained for the uncorrected formation energy is 0.0 eV/f.u. The calculation puts the density of states at the Fermi level at 1.259 states/eV/f.u.